1.
GGA-PBE Ni2PtSe6, relaxed; space-group type = No. 12; raw formation energy = -0.2960 eV per atom; calculated total energy = -4.575 eV per atom
1.0
5.999 -1.837 0.000
5.999 1.837 0.000
-0.801 0.000 7.980
Ni Pt Se
2 1 6
Direct
0.170 0.170 0.334
0.830 0.830 0.666
0.500 0.500 0.000
0.022 0.022 0.790
0.302 0.302 0.858
0.356 0.356 0.477
0.644 0.644 0.523
0.698 0.698 0.142
0.978 0.978 0.210

2.
GGA-PBE AgHPd3, relaxed; relative energy among the computed polymorphs = 1.672 eV per atom; space-group type = No. 221; calculated total energy = -2.757 eV per atom
1.0
4.987 0.000 0.000
0.000 4.987 0.000
0.000 0.000 4.987
Ag H Pd
1 1 3
Direct
0.000 0.000 0.000
0.500 0.500 0.500
0.000 0.000 0.500
0.000 0.500 0.000
0.500 0.000 0.000

3.
GGA-PBE InAsPd2, relaxed; space-group type = No. 14; formation enthalpy at 0 K = -0.446 eV per atom; calculated total energy = -4.889 eV per atom
1.0
7.716 0.000 0.000
0.000 6.456 0.000
-0.028 0.000 5.900
In As Pd
4 4 8
Direct
0.118 0.110 0.300
0.118 0.390 0.800
0.882 0.610 0.200
0.882 0.890 0.700
0.374 0.567 0.189
0.374 0.933 0.689
0.626 0.067 0.311
0.626 0.433 0.811
0.160 0.697 0.489
0.160 0.803 0.989
0.399 0.195 0.006
0.399 0.305 0.506
0.601 0.695 0.494
0.601 0.805 0.994
0.840 0.197 0.011
0.840 0.303 0.511

4.
GGA-PBE MoIr2, relaxed; space-group type = No. 36; formation enthalpy at 0 K = -0.077 eV per atom; calculated total energy = -9.595 eV per atom
1.0
2.115 -4.130 0.000
2.115 4.130 0.000
0.000 0.000 5.311
Mo Ir
2 4
Direct
0.190 0.810 0.500
0.810 0.190 0.000
0.125 0.875 0.016
0.467 0.533 0.230
0.533 0.467 0.730
0.875 0.125 0.516

5.
GGA-PBE KLiNbBr6, relaxed; space-group type = No. 163; raw formation energy = -1.1876 eV per atom; calculated total energy = -3.756 eV per atom
1.0
6.987 0.000 0.000
-3.493 6.051 0.000
0.000 0.000 14.544
K Li Nb Br
2 2 2 12
Direct
0.000 0.000 0.000
0.000 0.000 0.500
0.333 0.667 0.250
0.667 0.333 0.750
0.333 0.667 0.750
0.667 0.333 0.250
0.016 0.378 0.647
0.016 0.639 0.853
0.361 0.378 0.853
0.361 0.984 0.647
0.378 0.016 0.147
0.378 0.361 0.353
0.622 0.639 0.647
0.622 0.984 0.853
0.639 0.016 0.353
0.639 0.622 0.147
0.984 0.361 0.147
0.984 0.622 0.353

6.
GGA-PBE Co7Te, relaxed; space-group type = No. 225; raw formation energy = 0.1774 eV per atom; calculated total energy = -6.433 eV per atom
1.0
0.000 3.623 3.623
3.623 0.000 3.623
3.623 3.623 0.000
Co Te
7 1
Direct
0.000 0.000 0.000
0.000 0.000 0.500
0.000 0.500 0.000
0.000 0.500 0.500
0.500 0.000 0.000
0.500 0.000 0.500
0.500 0.500 0.000
0.500 0.500 0.500

Repeat the second record exactly.
GGA-PBE AgHPd3, relaxed; relative energy among the computed polymorphs = 1.672 eV per atom; space-group type = No. 221; calculated total energy = -2.757 eV per atom
1.0
4.987 0.000 0.000
0.000 4.987 0.000
0.000 0.000 4.987
Ag H Pd
1 1 3
Direct
0.000 0.000 0.000
0.500 0.500 0.500
0.000 0.000 0.500
0.000 0.500 0.000
0.500 0.000 0.000

Which of these has the highest calculated total energy?
AgHPd3